A plane-wave DFT calculation with PBE was carried out for a relaxed Sm14TmCd crystal.

a = 10.194 Å, b = 7.151 Å, c = 7.151 Å
α = 89.98°, β = 90.00°, γ = 90.00°
Sites, in units of the cell vectors:
Sm 0.000 0.000 0.000
Sm 0.000 0.001 0.499
Sm 0.000 0.499 0.001
Sm 0.000 0.500 0.500
Sm 0.254 0.250 0.750
Sm 0.254 0.750 0.250
Sm 0.254 0.750 0.750
Sm 0.255 0.250 0.250
Sm 0.500 0.501 0.999
Sm 0.500 0.999 0.501
Sm 0.745 0.250 0.250
Sm 0.746 0.250 0.750
Sm 0.746 0.750 0.250
Sm 0.746 0.750 0.750
Tm 0.500 0.500 0.500
Cd 0.500 0.000 0.000

## Properties
DFT total energy   -71.59 eV per cell
Spin magnetization   0.0 μB per cell